Entry 1:
# MgZn3Ni

A relaxed structure of MgZn3Ni (PBE, Alexandria via LeMat-Bulk).

Cell: 4.821 4.821 4.821 Å, 90.00 90.00 90.00°
Space group Pm-3m (No. 221)
One atom of each set of equivalent atoms:
Mg 0.000 0.000 0.000 (multiplicity 1)
Zn 0.000 0.000 0.500 (multiplicity 3)
Ni 0.500 0.500 0.500 (multiplicity 1)

Calculated values
For the formation energy, the calculation gives 1096 meV/atom. The value obtained for the energy above the most stable polymorph in this dataset is 28.90 kcal/mol of atoms.

---

Entry 2:
# MgZn2Ni2

A relaxed structure of MgZn2Ni2 (PBE, Alexandria via LeMat-Bulk).

Cell: 3.708 3.708 21.725 Å, 90.00 90.00 90.00°
Space group I4/mmm (No. 139)
One atom of each set of equivalent atoms:
Mg 0.000 0.000 0.124 (multiplicity 4)
Zn 0.000 0.000 0.321 (multiplicity 4)
Zn 0.000 0.500 0.000 (multiplicity 4)
Ni 0.000 0.000 0.429 (multiplicity 4)
Ni 0.000 0.500 0.250 (multiplicity 4)

Calculated values
For the formation energy, the calculation gives -91 meV/atom. The value obtained for the energy above the most stable polymorph in this dataset is 2.44 kcal/mol of atoms.

---

Entry 3:
# MgZn3Ni

A relaxed structure of MgZn3Ni (PBE, Alexandria via LeMat-Bulk).

Cell: 4.558 4.558 4.558 Å, 90.00 90.00 90.00°
Space group Pm-3m (No. 221)
One atom of each set of equivalent atoms:
Mg 0.000 0.000 0.000 (multiplicity 1)
Zn 0.000 0.500 0.500 (multiplicity 3)
Ni 0.500 0.500 0.500 (multiplicity 1)

Calculated values
For the formation energy, the calculation gives 141 meV/atom. The value obtained for the energy above the most stable polymorph in this dataset is 6.89 kcal/mol of atoms.

---

Entry 4:
# Mg2Zn3Ni2

A relaxed structure of Mg2Zn3Ni2 (PBE, Alexandria via LeMat-Bulk).

Cell: 9.092 3.950 6.477 Å, 90.00 112.74 90.00°
Space group C2/m (No. 12)
One atom of each set of equivalent atoms:
Mg 0.146 0.000 0.282 (multiplicity 4)
Zn 0.000 0.500 0.500 (multiplicity 2)
Zn 0.132 0.500 0.941 (multiplicity 4)
Ni 0.138 0.000 0.696 (multiplicity 4)

Calculated values
For the formation energy, the calculation gives -197 meV/atom.

---

Entry 5:
# MgZnNi

A relaxed structure of MgZnNi (PBE, Alexandria via LeMat-Bulk).

Cell: 4.982 5.141 6.879 Å, 90.00 90.00 90.00°
Space group Imma (No. 74)
One atom of each set of equivalent atoms:
Mg 0.000 0.250 0.134 (multiplicity 4)
Zn 0.250 0.250 0.750 (multiplicity 4)
Ni 0.000 0.000 0.500 (multiplicity 4)

Calculated values
For the formation energy, the calculation gives -267 meV/atom.

---

Entry 6:
# Mg3Zn4Ni

A relaxed structure of Mg3Zn4Ni (PBE, Alexandria via LeMat-Bulk).

Cell: 6.257 6.301 12.946 Å, 90.00 90.00 90.00°
Space group Fmmm (No. 69)
One atom of each set of equivalent atoms:
Mg 0.000 0.000 0.000 (multiplicity 4)
Mg 0.000 0.000 0.257 (multiplicity 8)
Zn 0.250 0.250 0.113 (multiplicity 16)
Ni 0.000 0.000 0.500 (multiplicity 4)

Calculated values
For the formation energy, the calculation gives -90 meV/atom.

---

Entry 7:
# MgZn2Ni2

A relaxed structure of MgZn2Ni2 (PBE, Alexandria via LeMat-Bulk).

Cell: 7.215 4.198 4.981 Å, 90.00 117.83 90.00°
Space group C2/m (No. 12)
One atom of each set of equivalent atoms:
Mg 0.000 0.000 0.000 (multiplicity 2)
Zn 0.213 0.000 0.633 (multiplicity 4)
Ni 0.097 0.500 0.786 (multiplicity 4)

Calculated values
For the formation energy, the calculation gives -184 meV/atom. The value obtained for the energy above the most stable polymorph in this dataset is 0.30 kcal/mol of atoms.

---

Entry 8:
# Mg2Zn5Ni

A relaxed structure of Mg2Zn5Ni (PBE, Alexandria via LeMat-Bulk).

Cell: 4.391 4.391 12.751 Å, 90.00 90.00 90.00°
Space group I4/mmm (No. 139)
One atom of each set of equivalent atoms:
Mg 0.000 0.000 0.245 (multiplicity 4)
Zn 0.000 0.000 0.500 (multiplicity 2)
Zn 0.000 0.500 0.109 (multiplicity 8)
Ni 0.000 0.000 0.000 (multiplicity 2)

Calculated values
For the formation energy, the calculation gives -86 meV/atom.

---

Entry 9:
# MgZnNi

A relaxed structure of MgZnNi (PBE, Alexandria via LeMat-Bulk).

Cell: 5.949 5.949 5.949 Å, 90.00 90.00 90.00°
Space group F-43m (No. 216)
One atom of each set of equivalent atoms:
Mg 0.000 0.000 0.000 (multiplicity 4)
Zn 0.250 0.250 0.250 (multiplicity 4)
Ni 0.250 0.250 0.750 (multiplicity 4)

Calculated values
For the formation energy, the calculation gives 378 meV/atom.

---

Entry 10:
# MgZrNi2

A relaxed structure of MgZrNi2 (PBE, Alexandria via LeMat-Bulk).

Cell: 3.336 3.412 5.709 Å, 90.00 90.00 90.00°
Space group Pmm2 (No. 25)
One atom of each set of equivalent atoms:
Mg 0.000 0.000 0.000 (multiplicity 1)
Zr 0.500 0.500 0.637 (multiplicity 1)
Ni 0.000 0.000 0.453 (multiplicity 1)
Ni 0.500 0.500 0.193 (multiplicity 1)

Calculated values
For the formation energy, the calculation gives -95 meV/atom.

---

Entry 11:
# MgZr2Ni

A relaxed structure of MgZr2Ni (PBE, Alexandria via LeMat-Bulk).

Cell: 3.1224 3.1224 28.4222 Å, 90.00 90.00 120.00°
Space group R-3m (No. 166, hexagonal axes)
One atom of each set of equivalent atoms:
Mg 0.0000 0.0000 0.0000 (multiplicity 3)
Zr 0.0000 0.0000 0.2381 (multiplicity 6)
Ni 0.0000 0.0000 0.5000 (multiplicity 3)

Calculated values
For the formation energy, the calculation gives 31 meV/atom. The value obtained for the energy above the most stable polymorph in this dataset is 4.67 kcal/mol of atoms.

---

Entry 12:
# MgZrNi2

A relaxed structure of MgZrNi2 (PBE, Alexandria via LeMat-Bulk).

Cell: 9.593 2.876 4.637 Å, 90.00 104.23 90.00°
Space group Cm (No. 8)
One atom of each set of equivalent atoms:
Mg 0.000 0.000 0.000 (multiplicity 2)
Zr 0.284 0.500 0.364 (multiplicity 2)
Ni 0.039 0.500 0.536 (multiplicity 2)
Ni 0.250 0.000 0.842 (multiplicity 2)

Calculated values
For the formation energy, the calculation gives -201 meV/atom.

---

Entry 13:
# MgZr2Ni2

A relaxed structure of MgZr2Ni2 (PBE, Alexandria via LeMat-Bulk).

Cell: 3.341 3.341 17.152 Å, 90.00 90.00 90.00°
Space group I4/mmm (No. 139)
One atom of each set of equivalent atoms:
Mg 0.000 0.000 0.000 (multiplicity 2)
Zr 0.000 0.000 0.370 (multiplicity 4)
Ni 0.000 0.500 0.250 (multiplicity 4)

Calculated values
For the formation energy, the calculation gives -1 meV/atom.

---

Entry 14:
# MgZr2Ni2

A relaxed structure of MgZr2Ni2 (PBE, Alexandria via LeMat-Bulk).

Cell: 4.698 4.698 8.652 Å, 90.00 90.00 90.00°
Space group I4/mmm (No. 139)
One atom of each set of equivalent atoms:
Mg 0.000 0.000 0.000 (multiplicity 2)
Zr 0.000 0.500 0.250 (multiplicity 4)
Ni 0.000 0.000 0.374 (multiplicity 4)

Calculated values
For the formation energy, the calculation gives -137 meV/atom.

---

Entry 15:
# Mg2ZrNi

A relaxed structure of Mg2ZrNi (PBE, Alexandria via LeMat-Bulk).

Cell: 6.586 6.586 6.586 Å, 90.00 90.00 90.00°
Space group Fm-3m (No. 225)
One atom of each set of equivalent atoms:
Mg 0.250 0.250 0.250 (multiplicity 8)
Zr 0.000 0.000 0.000 (multiplicity 4)
Ni 0.000 0.000 0.500 (multiplicity 4)

Calculated values
For the formation energy, the calculation gives 146 meV/atom.

---

Entry 16:
# Mg2ZrNi

A relaxed structure of Mg2ZrNi (PBE, Alexandria via LeMat-Bulk).

Cell: 2.960 4.585 5.590 Å, 90.00 104.78 90.00°
Space group P2/m (No. 10)
One atom of each set of equivalent atoms:
Mg 0.160 0.000 0.274 (multiplicity 2)
Zr 0.500 0.500 0.000 (multiplicity 1)
Ni 0.000 0.500 0.500 (multiplicity 1)

Calculated values
For the formation energy, the calculation gives 49 meV/atom.

---

Entry 17:
# MgZr2Ni

A relaxed structure of MgZr2Ni (PBE, Alexandria via LeMat-Bulk).

Cell: 4.496 4.496 3.728 Å, 90.00 90.00 90.00°
Space group P4/mmm (No. 123)
One atom of each set of equivalent atoms:
Mg 0.000 0.000 0.000 (multiplicity 1)
Zr 0.000 0.500 0.500 (multiplicity 2)
Ni 0.500 0.500 0.000 (multiplicity 1)

Calculated values
For the formation energy, the calculation gives -13 meV/atom. The value obtained for the energy above the most stable polymorph in this dataset is 3.65 kcal/mol of atoms.

---

Entry 18:
# MgZr2Ni

A relaxed structure of MgZr2Ni (PBE, Alexandria via LeMat-Bulk).

Cell: 6.732 6.732 6.732 Å, 90.00 90.00 90.00°
Space group F-43m (No. 216)
One atom of each set of equivalent atoms:
Mg 0.000 0.000 0.000 (multiplicity 4)
Zr 0.000 0.000 0.500 (multiplicity 4)
Zr 0.250 0.250 0.750 (multiplicity 4)
Ni 0.250 0.250 0.250 (multiplicity 4)

Calculated values
For the formation energy, the calculation gives 190 meV/atom. The value obtained for the energy above the most stable polymorph in this dataset is 8.34 kcal/mol of atoms.

---

Entry 19:
# MgZrNi2

A relaxed structure of MgZrNi2 (PBE, Alexandria via LeMat-Bulk).

Cell: 6.884 6.884 5.652 Å, 90.00 90.00 90.00°
Space group I-42d (No. 122)
One atom of each set of equivalent atoms:
Mg 0.000 0.000 0.000 (multiplicity 4)
Zr 0.000 0.000 0.500 (multiplicity 4)
Ni 0.250 0.250 0.125 (multiplicity 8)

Calculated values
For the formation energy, the calculation gives 167 meV/atom.

---

Entry 20:
# MgZrNi3

A relaxed structure of MgZrNi3 (PBE, Alexandria via LeMat-Bulk).

Cell: 4.315 4.315 4.315 Å, 90.00 90.00 90.00°
Space group Pm-3m (No. 221)
One atom of each set of equivalent atoms:
Mg 0.000 0.000 0.000 (multiplicity 1)
Zr 0.500 0.500 0.500 (multiplicity 1)
Ni 0.000 0.000 0.500 (multiplicity 3)

Calculated values
For the formation energy, the calculation gives 623 meV/atom. The value obtained for the energy above the most stable polymorph in this dataset is 0.00 kcal/mol of atoms.

---

Entry 21:
# MgZr5Ni6

A relaxed structure of MgZr5Ni6 (PBE, Alexandria via LeMat-Bulk).

Cell: 14.301 6.447 4.538 Å, 90.00 108.45 90.00°
Space group C2/m (No. 12)
One atom of each set of equivalent atoms:
Mg 0.000 0.000 0.000 (multiplicity 2)
Zr 0.000 0.500 0.000 (multiplicity 2)
Zr 0.153 0.000 0.652 (multiplicity 4)
Zr 0.171 0.500 0.672 (multiplicity 4)
Ni 0.000 0.283 0.500 (multiplicity 4)
Ni 0.182 0.273 0.184 (multiplicity 8)

Calculated values
For the formation energy, the calculation gives -353 meV/atom.

---

Entry 22:
# Mg2ZrNi

A relaxed structure of Mg2ZrNi (PBE, Alexandria via LeMat-Bulk).

Cell: 2.965 4.778 10.524 Å, 90.00 90.00 90.00°
Space group Immm (No. 71)
One atom of each set of equivalent atoms:
Mg 0.000 0.000 0.207 (multiplicity 4)
Zr 0.000 0.500 0.000 (multiplicity 2)
Ni 0.000 0.500 0.500 (multiplicity 2)

Calculated values
For the formation energy, the calculation gives -54 meV/atom.

---

Entry 23:
# MgZr2Ni

A relaxed structure of MgZr2Ni (PBE, Alexandria via LeMat-Bulk).

Cell: 6.718 6.718 6.718 Å, 90.00 90.00 90.00°
Space group Fm-3m (No. 225)
One atom of each set of equivalent atoms:
Mg 0.000 0.000 0.000 (multiplicity 4)
Zr 0.250 0.250 0.250 (multiplicity 8)
Ni 0.000 0.000 0.500 (multiplicity 4)

Calculated values
For the formation energy, the calculation gives 14 meV/atom. The value obtained for the energy above the most stable polymorph in this dataset is 4.29 kcal/mol of atoms.

---

Entry 24:
# MgZrNi2

A relaxed structure of MgZrNi2 (PBE, Alexandria via LeMat-Bulk).

Cell: 2.9095 2.9095 26.4718 Å, 90.00 90.00 120.00°
Space group R3m (No. 160, hexagonal axes)
One atom of each set of equivalent atoms:
Mg 0.0000 0.0000 0.0000 (multiplicity 3)
Zr 0.0000 0.0000 0.2279 (multiplicity 3)
Ni 0.0000 0.0000 0.4799 (multiplicity 3)
Ni 0.0000 0.0000 0.7428 (multiplicity 3)

Calculated values
For the formation energy, the calculation gives 168 meV/atom.

---

Entry 25:
# MgZr2Ni

A relaxed structure of MgZr2Ni (PBE, Alexandria via LeMat-Bulk).

Cell: 3.367 4.845 9.494 Å, 90.00 90.00 90.00°
Space group Immm (No. 71)
One atom of each set of equivalent atoms:
Mg 0.000 0.000 0.000 (multiplicity 2)
Zr 0.000 0.500 0.218 (multiplicity 4)
Ni 0.000 0.000 0.500 (multiplicity 2)

Calculated values
For the formation energy, the calculation gives -43 meV/atom. The value obtained for the energy above the most stable polymorph in this dataset is 2.97 kcal/mol of atoms.

---

Entry 26:
# MgZrNi

A relaxed structure of MgZrNi (PBE, Alexandria via LeMat-Bulk).

Cell: 3.273 4.093 8.538 Å, 90.00 100.33 90.00°
Space group P2_1/m (No. 11)
One atom of each set of equivalent atoms:
Mg 0.202 0.250 0.405 (multiplicity 2)
Zr 0.420 0.250 0.834 (multiplicity 2)
Ni 0.043 0.250 0.090 (multiplicity 2)

Calculated values
For the formation energy, the calculation gives -297 meV/atom.

---

Entry 27:
# Mg2ZrNi

A relaxed structure of Mg2ZrNi (PBE, Alexandria via LeMat-Bulk).

Cell: 3.698 4.194 4.724 Å, 90.00 90.00 90.00°
Space group Pmmm (No. 47)
One atom of each set of equivalent atoms:
Mg 0.000 0.000 0.000 (multiplicity 1)
Mg 0.500 0.500 0.000 (multiplicity 1)
Zr 0.000 0.500 0.500 (multiplicity 1)
Ni 0.500 0.000 0.500 (multiplicity 1)

Calculated values
For the formation energy, the calculation gives -21 meV/atom.